[1]
Density functional theory data (GGA-PBE) for crystalline Li2RhCl at its relaxed geometry.

The calculation puts the raw formation energy at -8.8 kcal/mol of atoms. The crystal system is tetragonal. The value obtained for the total energy is -3.638 eV per atom.

The structure belongs to space group P4mm (No. 99); the cell edges are 3.1298, 3.1298 and 6.9968 Å and the angles 90.00°, 90.00° and 90.00°. The inequivalent atoms are Li at (0.0000, 0.0000, 0.0000), Li at (0.5000, 0.5000, 0.2544), Rh at (0.0000, 0.0000, 0.4552) and Cl at (0.5000, 0.5000, 0.9125).

---

[2]
Density functional theory data (GGA-PBE) for crystalline RbSr2V at its relaxed geometry.

The crystal system is cubic. The value obtained for the total energy is -2.616 eV per atom. The value obtained for the formation energy is 0.75 eV per atom.

The structure belongs to space group Fm-3m (No. 225); the cell edges are 8.8312, 8.8312 and 8.8312 Å and the angles 90.00°, 90.00° and 90.00°. The inequivalent atoms are Rb at (0.0000, 0.0000, 0.0000), Sr at (0.2500, 0.2500, 0.2500) and V at (0.0000, 0.0000, 0.5000).

---

[3]
Density functional theory data (GGA-PBE) for crystalline Zr3MnSe6 at its relaxed geometry.

The calculation puts the raw formation energy at -24.5 kcal/mol of atoms. The crystal system is orthorhombic. The value obtained for the total energy is -6.636 eV per atom.

The structure belongs to space group Cmc2_1 (No. 36); the cell edges are 10.7175, 13.0254 and 6.5223 Å and the angles 90.00°, 90.00° and 90.00°. The inequivalent atoms are Zr at (0.0000, 0.0944, 0.0000), Zr at (0.1709, 0.4026, 0.1138), Mn at (0.0000, 0.2875, 0.6491), Se at (0.0000, 0.2700, 0.2716), Se at (0.0000, 0.4630, 0.7986), Se at (0.1653, 0.0384, 0.3045) and Se at (0.1786, 0.2235, 0.8506).

---

[4]
Density functional theory data (GGA-PBE) for crystalline La4Pm4Nd3 at its relaxed geometry.

The crystal system is orthorhombic. The value obtained for the total energy is -4.700 eV per atom. The value obtained for the formation energy is 0.12 eV per atom.

The structure belongs to space group Immm (No. 71); the cell edges are 3.6637, 9.6993 and 22.6495 Å and the angles 90.00°, 90.00° and 90.00°. The inequivalent atoms are La at (0.0000, 0.1705, 0.1457), Pm at (0.0000, 0.3134, 0.0000), Pm at (0.0000, 0.5000, 0.2366), Nd at (0.0000, 0.0000, 0.3940) and Nd at (0.0000, 0.5000, 0.5000).

---

> Which of these has the highest total energy?

RbSr2V